No. 1
Material: Dy3Ag3SnSe8
Method: DFT, PBE
State: optimized geometry

Magnetic moment, μB/f.u.: 0.0
SG: C2/m, No. 12
Density, kg/m3: 6699
Energy relative to the elements, uncorrected, eV/atom: -0.986

```
Dy3Ag3SnSe8
1.0
7.0027 -4.1170 0.0000
7.0027 4.1170 0.0000
-4.6066 0.0000 6.7126
Dy Ag Sn Se
3 3 1 8
Cartesian
0.0000 0.0000 0.0000 Dy
1.1981 2.0585 3.3563 Dy
1.1981 -2.0585 3.3563 Dy
3.5014 2.0585 0.0000 Ag
3.5014 -2.0585 0.0000 Ag
4.6994 0.0000 3.3563 Ag
7.0027 0.0000 0.0000 Sn
2.2884 0.0000 1.7061 Se
0.1382 0.0000 5.1058 Se
5.8900 1.9693 1.6034 Se
3.5089 1.9693 5.1092 Se
5.8900 -1.9693 1.6034 Se
3.5089 -1.9693 5.1092 Se
9.2607 0.0000 1.6068 Se
7.1105 0.0000 5.0065 Se
```



No. 2
Material: DyAg2Sn3Se6
Method: DFT, PBE
State: optimized geometry

Magnetic moment, μB/f.u.: 0.0
SG: C2/m, No. 12
Density, kg/m3: 6563
Energy relative to the elements, uncorrected, eV/atom: -0.605

```
DyAg2Sn3Se6
1.0
3.5793 -6.2157 0.0000
3.5793 6.2157 0.0000
-2.3704 0.0000 6.8691
Dy Ag Sn Se
1 2 3 6
Cartesian
0.0000 0.0000 0.0000 Dy
3.5793 2.1250 0.0000 Ag
3.5793 -2.1250 0.0000 Ag
2.3942 4.2034 3.4346 Sn
2.3942 0.0000 3.4346 Sn
2.3942 -4.2034 3.4346 Sn
1.1903 2.0355 1.6341 Se
-0.0202 0.0000 5.1976 Se
1.1903 -2.0355 1.6341 Se
3.5980 2.0355 5.2351 Se
4.8085 0.0000 1.6715 Se
3.5980 -2.0355 5.2351 Se
```



No. 3
Material: SrDyAgSe3
Method: DFT, PBE
State: optimized geometry

Magnetic moment, μB/f.u.: 0.0
SG: P2_1/m, No. 11
Density, kg/m3: 6155
Energy relative to the elements, uncorrected, eV/atom: -1.517

```
SrDyAgSe3
1.0
8.4679 0.0000 0.0000
0.0000 4.1817 0.0000
-2.3168 0.0000 9.0648
Sr Dy Ag Se
2 2 2 6
Cartesian
1.1212 1.0454 2.2148 Sr
5.0299 3.1363 6.8499 Sr
0.8028 3.1363 7.5676 Dy
5.3484 1.0454 1.4972 Dy
-0.5894 1.0454 5.3234 Ag
6.7406 3.1363 3.7414 Ag
-1.1918 1.0454 7.9061 Se
1.0091 3.1363 4.6880 Se
3.3511 3.1363 1.4019 Se
2.8001 1.0454 7.6629 Se
5.1421 1.0454 4.3768 Se
7.3430 3.1363 1.1586 Se
```



No. 4
Material: Tb2DyAgSe5
Method: DFT, PBE
State: optimized geometry

Magnetic moment, μB/f.u.: 0.0
SG: Cmc2_1, No. 36
Density, kg/m3: 7447
Energy relative to the elements, uncorrected, eV/atom: -1.486

```
Tb2DyAgSe5
1.0
2.0431 -8.6016 0.0000
2.0431 8.6016 0.0000
0.0000 0.0000 12.4728
Tb Dy Ag Se
4 2 2 10
Cartesian
2.0431 6.7063 6.2364 Tb
2.0431 6.4454 1.4623 Tb
2.0431 -6.4454 7.6987 Tb
2.0431 -6.7063 0.0000 Tb
2.0431 5.2414 10.2696 Dy
2.0431 -5.2414 4.0332 Dy
2.0431 0.9558 3.4494 Ag
2.0431 -0.9558 9.6859 Ag
2.0431 7.8394 11.2155 Se
2.0431 3.6822 6.0445 Se
2.0431 3.3369 1.9601 Se
2.0431 2.3906 10.1833 Se
2.0431 0.0461 7.3484 Se
2.0431 -0.0461 1.1120 Se
2.0431 -2.3906 3.9469 Se
2.0431 -3.3369 8.1966 Se
2.0431 -3.6822 12.2810 Se
2.0431 -7.8394 4.9791 Se
```



No. 5
Material: TbDy2Ag3Se6
Method: DFT, PBE
State: optimized geometry

Magnetic moment, μB/f.u.: 0.0
SG: C2/m, No. 12
Density, kg/m3: 7243
Energy relative to the elements, uncorrected, eV/atom: -1.166

```
TbDy2Ag3Se6
1.0
8.8543 -2.0906 0.0000
8.8543 2.0906 0.0000
-1.4297 0.0000 7.9347
Tb Dy Ag Se
1 2 3 6
Cartesian
0.0000 0.0000 0.0000 Tb
4.9479 0.0000 5.2855 Dy
11.3311 0.0000 2.6492 Dy
-0.7149 0.0000 3.9674 Ag
5.6753 0.0000 1.3150 Ag
10.6036 0.0000 6.6198 Ag
2.8155 0.0000 0.6863 Se
2.1439 0.0000 4.6119 Se
7.7558 0.0000 5.9585 Se
8.5231 0.0000 1.9763 Se
14.1350 0.0000 3.3228 Se
13.4634 0.0000 7.2485 Se
```



No. 6
Material: DyAgTeSe
Method: DFT, PBE
State: optimized geometry

Magnetic moment, μB/f.u.: 0.0
SG: R-3m, No. 166
Density, kg/m3: 7189
Energy relative to the elements, uncorrected, eV/atom: -1.049

```
DyAgTeSe
1.0
2.3157 1.3370 11.8603
-2.3157 1.3370 11.8603
0.0000 -2.6740 11.8603
Dy Ag Te Se
2 2 2 2
Cartesian
0.0000 0.0000 4.0066 Dy
0.0000 0.0000 31.5742 Dy
0.0000 0.0000 11.0336 Ag
0.0000 0.0000 24.5472 Ag
0.0000 0.0000 13.9027 Te
0.0000 0.0000 21.6781 Te
0.0000 0.0000 6.9865 Se
0.0000 0.0000 28.5943 Se
```



No. 7
Material: Dy4AgTe2Se
Method: DFT, PBE
State: optimized geometry

Magnetic moment, μB/f.u.: 0.0
SG: P2/m, No. 10
Density, kg/m3: 8291
Energy relative to the elements, uncorrected, eV/atom: -1.138

```
Dy4AgTe2Se
1.0
7.4223 0.0000 0.0000
0.0000 4.1436 0.0000
-2.3493 0.0000 7.1118
Dy Ag Te Se
4 1 2 1
Cartesian
1.1302 0.0000 1.7025 Dy
-0.0472 2.0718 5.2780 Dy
5.1202 2.0718 1.8338 Dy
3.9429 0.0000 5.4093 Dy
-1.1747 0.0000 3.5559 Ag
3.7112 0.0000 0.0000 Te
2.5365 2.0718 3.5559 Te
0.0000 2.0718 0.0000 Se
```



No. 8
Material: Dy2Tl3AgSe6
Method: DFT, PBE
State: optimized geometry

Magnetic moment, μB/f.u.: 0.0
SG: C2/m, No. 12
Density, kg/m3: 7589
Energy relative to the elements, uncorrected, eV/atom: -0.913

```
Dy2Tl3AgSe6
1.0
3.6161 -6.2473 0.0000
3.6161 6.2473 0.0000
-2.3960 0.0000 7.3603
Dy Tl Ag Se
2 3 1 6
Cartesian
3.6161 4.1765 0.0000 Dy
3.6161 -4.1765 0.0000 Dy
-1.1980 0.0000 3.6802 Tl
2.4181 2.1934 3.6802 Tl
2.4181 -2.1934 3.6802 Tl
3.6161 0.0000 0.0000 Ag
0.0214 2.0725 5.8054 Se
1.1568 0.0000 1.6438 Se
0.0214 -2.0725 5.8054 Se
4.8147 2.0725 1.5550 Se
3.6794 0.0000 5.7165 Se
4.8147 -2.0725 1.5550 Se
```



No. 9
Material: Dy3TlAg2Se6
Method: DFT, PBE
State: optimized geometry

Magnetic moment, μB/f.u.: 0.0
SG: C2/m, No. 12
Density, kg/m3: 7083
Energy relative to the elements, uncorrected, eV/atom: -1.211

```
Dy3TlAg2Se6
1.0
9.8604 -2.0803 0.0000
9.8604 2.0803 0.0000
-2.4193 0.0000 7.8946
Dy Tl Ag Se
3 1 2 6
Cartesian
0.0000 0.0000 0.0000 Dy
4.7932 0.0000 5.4451 Dy
12.5084 0.0000 2.4494 Dy
-1.2096 0.0000 3.9473 Tl
5.4089 0.0000 1.5185 Ag
11.8927 0.0000 6.3761 Ag
2.9370 0.0000 0.4136 Se
2.0852 0.0000 4.4731 Se
7.5586 0.0000 6.0051 Se
9.7430 0.0000 1.8895 Se
15.2164 0.0000 3.4215 Se
14.3646 0.0000 7.4810 Se
```



No. 10
Material: DyTlAgSe2
Method: DFT, PBE
State: optimized geometry

Magnetic moment, μB/f.u.: 0.0
SG: P2/c, No. 13
Density, kg/m3: 6996
Energy relative to the elements, uncorrected, eV/atom: -0.748

```
DyTlAgSe2
1.0
6.7769 0.0000 0.0000
0.0000 5.9524 0.0000
-1.8867 0.0000 7.4457
Dy Tl Ag Se
2 2 2 4
Cartesian
-0.4717 0.0886 1.8614 Dy
-1.4150 5.8637 5.5843 Dy
2.9168 1.8672 1.8614 Tl
1.9734 4.0852 5.5843 Tl
0.0000 2.9762 0.0000 Ag
-0.9434 2.9762 3.7228 Ag
0.6987 1.0741 4.2072 Se
1.6421 4.8782 0.4844 Se
3.2481 1.0741 6.9613 Se
4.1914 4.8782 3.2385 Se
```



No. 11
Material: Dy4TmAgSe8
Method: DFT, PBE
State: optimized geometry

Magnetic moment, μB/f.u.: 0.0
SG: R3m, No. 160
Density, kg/m3: 6252
Energy relative to the elements, uncorrected, eV/atom: -1.647

```
Dy4TmAgSe8
1.0
4.1896 2.4188 6.8081
-4.1896 2.4188 6.8081
0.0000 -4.8377 6.8081
Dy Tm Ag Se
4 1 1 8
Cartesian
0.0000 0.0000 0.0000 Dy
0.0000 -2.3268 11.0430 Dy
-2.0150 1.1634 11.0430 Dy
2.0150 1.1634 11.0430 Dy
0.0000 0.0000 7.7741 Tm
0.0000 0.0000 15.3425 Ag
0.0000 0.0000 2.7334 Se
0.0000 -2.2374 5.9339 Se
-1.9376 1.1187 5.9339 Se
-1.9748 -1.1402 9.4007 Se
1.9376 1.1187 5.9338 Se
1.9748 -1.1402 9.4007 Se
0.0000 2.2803 9.4007 Se
0.0000 0.0000 12.6470 Se
```



No. 12
Material: Dy2TmAg3Se6
Method: DFT, PBE
State: optimized geometry

Magnetic moment, μB/f.u.: 0.0
SG: C2/m, No. 12
Density, kg/m3: 7367
Energy relative to the elements, uncorrected, eV/atom: -1.161

```
Dy2TmAg3Se6
1.0
8.8039 -2.0785 0.0000
8.8039 2.0785 0.0000
-1.5025 0.0000 7.9530
Dy Tm Ag Se
2 1 3 6
Cartesian
2.4425 0.0000 2.6143 Dy
13.6628 0.0000 5.3387 Dy
8.8039 0.0000 0.0000 Tm
1.7461 0.0000 6.5551 Ag
8.0526 0.0000 3.9765 Ag
14.3591 0.0000 1.3979 Ag
-0.3571 0.0000 1.9273 Se
16.4623 0.0000 6.0256 Se
5.2318 0.0000 3.3702 Se
4.5281 0.0000 7.3040 Se
11.5772 0.0000 0.6490 Se
10.8734 0.0000 4.5828 Se
```